Entry 1:
Entry from the Alexandria database: crystalline CrTe4Pd at its relaxed geometry (GGA-PBE).

Its space group is P2/m. The calculation puts the uncorrected energy at -0.3534 Ry/atom.

```
CrTe4Pd
1.0
5.655 0.000 0.000
0.000 4.026 0.000
-0.024 0.000 6.867
Cr Te Pd
1 4 1
Cartesian
0.000 0.000 0.000 Cr
1.388 0.000 2.296 Te
1.464 2.013 5.795 Te
4.167 2.013 1.072 Te
4.243 0.000 4.571 Te
-0.012 2.013 3.434 Pd
```

***

Entry 2:
Entry from the Alexandria database: crystalline Cr3Te8Pd2 at its relaxed geometry (GGA-PBE).

Its space group is C2/m. The calculation puts the uncorrected energy at -0.3767 Ry/atom.

```
Cr3Te8Pd2
1.0
6.814 -3.923 0.000
6.814 3.923 0.000
-2.140 0.000 6.318
Cr Te Pd
3 8 2
Cartesian
0.000 0.000 0.000 Cr
5.744 1.911 3.159 Cr
5.744 -1.911 3.159 Cr
0.044 0.000 4.630 Te
3.534 2.015 4.698 Te
7.953 2.015 1.620 Te
4.690 0.000 1.561 Te
6.798 0.000 4.757 Te
3.534 -2.015 4.698 Te
7.953 -2.015 1.620 Te
11.443 0.000 1.688 Te
2.408 0.000 3.103 Pd
9.079 0.000 3.215 Pd
```

***

Entry 3:
Entry from the Alexandria database: crystalline CrTePd at its relaxed geometry (GGA-PBE).

Its space group is F-43m. The calculation puts the uncorrected energy at -0.4438 Ry/atom.

```
CrTePd
1.0
0.000 3.155 3.155
3.155 0.000 3.155
3.155 3.155 0.000
Cr Te Pd
1 1 1
Cartesian
0.000 0.000 0.000 Cr
3.155 3.155 3.155 Te
1.578 1.578 1.578 Pd
```

***

Entry 4:
Entry from the Alexandria database: crystalline CrTe2Pd at its relaxed geometry (GGA-PBE).

Its space group is I-42d. The calculation puts the uncorrected energy at -0.3878 Ry/atom.

```
CrTe2Pd
1.0
-2.991 2.991 6.257
2.991 -2.991 6.257
2.991 2.991 -6.257
Cr Te Pd
2 4 2
Cartesian
0.000 0.000 0.000 Cr
0.000 2.991 3.128 Cr
4.487 1.445 -1.564 Te
1.445 1.496 1.564 Te
-1.496 1.547 4.693 Te
1.547 1.496 7.821 Te
2.991 0.000 3.128 Pd
0.000 0.000 6.257 Pd
```

***

Entry 5:
Entry from the Alexandria database: crystalline Cr2Te4Pd at its relaxed geometry (GGA-PBE).

Its space group is Fddd. The calculation puts the uncorrected energy at -0.4055 Ry/atom.

```
Cr2Te4Pd
1.0
0.000 5.655 5.666
5.608 0.000 5.666
5.608 5.655 0.000
Cr Te Pd
4 8 2
Cartesian
0.000 0.000 0.000 Cr
2.804 2.827 0.000 Cr
2.804 0.000 2.833 Cr
0.000 2.827 2.833 Cr
8.502 5.541 5.546 Te
2.713 2.714 2.713 Te
5.698 5.769 2.713 Te
5.698 2.714 5.785 Te
5.517 8.596 5.546 Te
5.517 5.541 8.618 Te
8.502 8.596 8.618 Te
2.713 5.769 5.785 Te
4.206 4.241 4.249 Pd
7.010 7.069 7.082 Pd
```

***

Entry 6:
Entry from the Alexandria database: crystalline CrTe6Pd at its relaxed geometry (GGA-PBE).

Its space group is P-1. The calculation puts the uncorrected energy at -0.3178 Ry/atom.

```
CrTe6Pd
1.0
6.565 0.000 0.000
3.110 5.816 0.000
3.243 -1.388 5.654
Cr Te Pd
1 6 1
Cartesian
0.000 0.000 0.000 Cr
5.334 3.890 3.269 Te
4.593 0.514 4.495 Te
4.449 1.563 0.469 Te
8.469 2.865 5.185 Te
8.325 3.915 1.159 Te
7.583 0.539 2.385 Te
3.176 2.214 2.827 Pd
```

***

Across the entries above, energy relative to the elements, uncorrected takes the values -0.245; -0.172; -0.053; -0.001; -0.230; -0.115 eV per atom, respectively.